DFT (PBE) results for a relaxed structure of Sm4Y3In.

Cell: 8.4153 7.1189 8.4715 Å, 90.00 95.62 90.00°
Last column: nearest neighbours and their distance in Å.
Atoms (fractional coordinates):
Sm 0.0000 0.0000 0.0000  5 Sm 3.48-3.60, 7 Y 3.52-3.66
Sm 0.0558 0.5000 0.4096  7 Y 3.46-3.57, 5 Sm 3.57-3.69
Sm 0.2444 0.2596 0.7506  7 Sm 3.42-3.70, 2 In 3.43-3.66, 3 Y 3.53-3.66
Sm 0.2444 0.7404 0.7506  7 Sm 3.42-3.70, 2 In 3.43-3.66, 3 Y 3.53-3.66
Sm 0.3286 0.2528 0.1652  3 Y 3.38-3.67, 7 Sm 3.48-3.73, 2 In 3.50-3.61
Sm 0.3286 0.7472 0.1652  3 Y 3.38-3.67, 7 Sm 3.48-3.73, 2 In 3.50-3.61
Sm 0.4774 0.5000 0.5111  3 In 3.39-3.57, 5 Sm 3.42-3.57, 4 Y 3.48-3.72
Sm 0.5797 0.0000 0.8942  3 In 3.39-3.56, 4 Y 3.42-3.56, 5 Sm 3.49-3.73
Y 0.0883 0.0000 0.4154  1 In 3.42, 7 Sm 3.52-3.57, 4 Y 3.67
Y 0.7303 0.2480 0.2426  5 Sm 3.38-3.72, 2 In 3.49-3.53, 5 Y 3.50-3.67
Y 0.7303 0.7520 0.2426  5 Sm 3.38-3.72, 2 In 3.49-3.53, 5 Y 3.50-3.67
Y 0.8129 0.2435 0.6562  2 In 3.37-3.57, 5 Sm 3.42-3.64, 5 Y 3.47-3.67
Y 0.8129 0.7565 0.6562  2 In 3.37-3.57, 5 Sm 3.42-3.64, 5 Y 3.47-3.67
Y 0.9707 0.5000 0.9928  1 In 3.33, 4 Y 3.53-3.55, 7 Sm 3.53-3.67
In 0.4941 0.0000 0.4950  5 Y 3.37-3.53, 7 Sm 3.39-3.66
In 0.5754 0.5000 0.9092  5 Y 3.33-3.57, 7 Sm 3.39-3.61

The calculation puts the density of states at the Fermi level at 10.8 states/eV/f.u. The space group is No. 6. The value obtained for the formation energy is -0.1117 eV per atom. As for the spin magnetization: 0.00 μB per cell. For the energy above the most stable polymorph in this dataset, the calculation gives 0.0 meV/atom.


DFT (PBE) results for a relaxed structure of Sm9Y4In11.

Cell: 13.9675 13.9675 3.5133 Å, 90.00 90.00 100.05°
Last column: nearest neighbours and their distance in Å.
Atoms (fractional coordinates):
Sm 0.0000 0.0000 0.0000  4 Y 3.29, 4 In 3.40, 2 Sm 3.51
Sm 0.1258 0.6431 0.0000  8 In 3.34-3.53, 1 Y 3.43, 3 Sm 3.51-3.66
Sm 0.2916 0.4667 0.0000  8 In 3.28-3.40, 3 Sm 3.51-3.66
Sm 0.3569 0.8742 0.0000  8 In 3.34-3.53, 1 Y 3.43, 3 Sm 3.51-3.66
Sm 0.4667 0.2916 0.0000  8 In 3.28-3.40, 3 Sm 3.51-3.66
Sm 0.5333 0.7084 0.0000  8 In 3.28-3.40, 3 Sm 3.51-3.66
Sm 0.6431 0.1258 0.0000  8 In 3.34-3.53, 1 Y 3.43, 3 Sm 3.51-3.66
Sm 0.7084 0.5333 0.0000  8 In 3.28-3.40, 3 Sm 3.51-3.66
Sm 0.8742 0.3569 0.0000  8 In 3.34-3.53, 1 Y 3.43, 3 Sm 3.51-3.66
Y 0.0689 0.2373 0.0000  6 In 3.21-3.44, 2 Sm 3.29-3.43, 2 Y 3.51
Y 0.2373 0.0689 0.0000  6 In 3.21-3.44, 2 Sm 3.29-3.43, 2 Y 3.51
Y 0.7627 0.9311 0.0000  6 In 3.21-3.44, 2 Sm 3.29-3.43, 2 Y 3.51
Y 0.9311 0.7627 0.0000  6 In 3.21-3.44, 2 Sm 3.29-3.43, 2 Y 3.51
In 0.0796 0.4336 0.5000  1 In 3.13, 2 Y 3.24, 6 Sm 3.37-3.40
In 0.1358 0.8642 0.5000  6 Sm 3.40-3.53, 4 Y 3.44, 2 In 3.51
In 0.2638 0.2638 0.5000  4 Y 3.21, 4 Sm 3.30, 2 In 3.51
In 0.3316 0.6684 0.5000  8 Sm 3.28-3.34, 3 In 3.51-3.60
In 0.4336 0.0796 0.5000  1 In 3.13, 2 Y 3.24, 6 Sm 3.37-3.40
In 0.5000 0.5000 0.5000  8 Sm 3.36, 4 In 3.51-3.60
In 0.5664 0.9204 0.5000  1 In 3.13, 2 Y 3.24, 6 Sm 3.37-3.40
In 0.6684 0.3316 0.5000  8 Sm 3.28-3.34, 3 In 3.51-3.60
In 0.7362 0.7362 0.5000  4 Y 3.21, 4 Sm 3.30, 2 In 3.51
In 0.8642 0.1358 0.5000  6 Sm 3.40-3.53, 4 Y 3.44, 2 In 3.51
In 0.9204 0.5664 0.5000  1 In 3.13, 2 Y 3.24, 6 Sm 3.37-3.40

The calculation puts the density of states at the Fermi level at 20.0 states/eV/f.u. The space group is No. 65. The value obtained for the formation energy is -0.4129 eV per atom. As for the spin magnetization: 0.00 μB per cell.


DFT (PBE) results for a relaxed structure of SmYIn2.

Cell: 9.9834 9.9834 9.9834 Å, 21.61 21.61 21.61°
Last column: nearest neighbours and their distance in Å.
Atoms (fractional coordinates):
Sm 0.0000 0.0000 0.0000  6 In 3.29
Y 0.5000 0.5000 0.5000  6 In 3.23
In 0.2487 0.2487 0.2487  3 Y 3.23, 3 Sm 3.29
In 0.7513 0.7513 0.7513  3 Y 3.23, 3 Sm 3.29

The calculation puts the density of states at the Fermi level at 2.0 states/eV/f.u. The space group is No. 166. The value obtained for the formation energy is -0.3362 eV per atom. As for the spin magnetization: 0.00 μB per cell. For the energy above the most stable polymorph in this dataset, the calculation gives 162.0 meV/atom.


DFT (PBE) results for a relaxed structure of SmY3In2.

Cell: 5.2451 9.8478 6.7575 Å, 90.00 90.00 90.00°
Last column: nearest neighbours and their distance in Å.
Atoms (fractional coordinates):
Sm 0.0000 0.0367 0.0000  5 In 3.29-3.60, 2 Sm 3.46, 4 Y 3.53-3.68
Sm 0.0000 0.9633 0.5000  5 In 3.29-3.60, 2 Sm 3.46, 4 Y 3.53-3.68
Y 0.0000 0.3216 0.6548  4 In 3.16-3.22, 2 Y 3.52
Y 0.0000 0.6784 0.1548  4 In 3.16-3.22, 2 Y 3.52
Y 0.5000 0.1819 0.2787  5 In 3.21-3.58, 2 Sm 3.53, 1 Y 3.59
Y 0.5000 0.4611 0.9363  5 In 3.26-3.61, 5 Y 3.46-3.59
Y 0.5000 0.5389 0.4363  5 In 3.26-3.61, 5 Y 3.46-3.59
Y 0.5000 0.8181 0.7787  5 In 3.21-3.58, 2 Sm 3.53, 1 Y 3.59
In 0.0000 0.3578 0.1812  6 Y 3.16-3.26, 1 Sm 3.39
In 0.0000 0.6422 0.6812  6 Y 3.16-3.26, 1 Sm 3.39
In 0.5000 0.1454 0.7515  6 Y 3.21-3.58, 2 Sm 3.29
In 0.5000 0.8546 0.2515  6 Y 3.21-3.58, 2 Sm 3.29

The calculation puts the density of states at the Fermi level at 6.1 states/eV/f.u. The space group is No. 26. The value obtained for the formation energy is -0.3850 eV per atom. As for the spin magnetization: 0.00 μB per cell. For the energy above the most stable polymorph in this dataset, the calculation gives 0.0 meV/atom.


DFT (PBE) results for a relaxed structure of Sm2Y3In4.

Cell: 5.3123 5.3123 10.3904 Å, 90.07 90.07 60.05°
Last column: nearest neighbours and their distance in Å.
Atoms (fractional coordinates):
Sm 0.1669 0.1669 0.2792  7 In 3.31-3.35, 1 Y 3.68
Sm 0.8331 0.8331 0.7208  7 In 3.31-3.35, 1 Y 3.68
Y 0.1666 0.1666 0.9246  4 In 3.17-3.36, 3 Y 3.44-3.45
Y 0.5000 0.5000 0.5000  8 In 3.24-3.62
Y 0.8334 0.8334 0.0754  4 In 3.17-3.36, 3 Y 3.44-3.45
In 0.1665 0.1665 0.6015  4 Y 3.24-3.36, 4 Sm 3.31-3.35
In 0.5001 0.5001 0.1513  1 In 3.14, 3 Y 3.17, 3 Sm 3.34
In 0.4999 0.4999 0.8487  1 In 3.14, 3 Y 3.17, 3 Sm 3.34
In 0.8335 0.8335 0.3985  4 Y 3.24-3.36, 4 Sm 3.31-3.35

The calculation puts the density of states at the Fermi level at 8.9 states/eV/f.u. The space group is No. 12. The value obtained for the formation energy is -0.4280 eV per atom. As for the spin magnetization: 0.00 μB per cell. For the energy above the most stable polymorph in this dataset, the calculation gives 0.0 meV/atom.


DFT (PBE) results for a relaxed structure of Sm3Y2In4.

Cell: 5.3394 5.3394 10.3237 Å, 90.07 90.07 60.07°
Last column: nearest neighbours and their distance in Å.
Atoms (fractional coordinates):
Sm 0.0000 0.0000 0.0000  8 In 3.25-3.57
Sm 0.3334 0.3334 0.5772  4 In 3.18-3.33, 3 Sm 3.47
Sm 0.6666 0.6666 0.4228  4 In 3.18-3.33, 3 Sm 3.47
Y 0.3331 0.3331 0.2217  7 In 3.33-3.34, 4 Sm 3.67-3.72
Y 0.6669 0.6669 0.7783  7 In 3.33-3.34, 4 Sm 3.67-3.72
In 0.9998 0.9998 0.3455  3 Sm 3.18-3.19, 1 In 3.19, 3 Y 3.34
In 0.0002 0.0002 0.6545  3 Sm 3.18-3.19, 1 In 3.19, 3 Y 3.34
In 0.3336 0.3336 0.8996  4 Sm 3.25-3.33, 4 Y 3.33
In 0.6664 0.6664 0.1004  4 Sm 3.25-3.33, 4 Y 3.33

The calculation puts the density of states at the Fermi level at 7.9 states/eV/f.u. The space group is No. 12. The value obtained for the formation energy is -0.4317 eV per atom. As for the spin magnetization: 0.00 μB per cell. For the energy above the most stable polymorph in this dataset, the calculation gives 0.0 meV/atom.


DFT (PBE) results for a relaxed structure of SmY3In3.

Cell: 9.3736 9.3736 9.3736 Å, 90.00 90.00 90.00°
Last column: nearest neighbours and their distance in Å.
Atoms (fractional coordinates):
Sm 0.0718 0.4282 0.5718  6 In 3.17-3.38
Sm 0.4282 0.5718 0.0718  6 In 3.17-3.38
Sm 0.5718 0.0718 0.4282  6 In 3.17-3.38
Sm 0.9282 0.9282 0.9282  6 In 3.17-3.38
Y 0.0791 0.5791 0.9209  6 In 3.15-3.35
Y 0.1769 0.1769 0.1769  6 In 3.15-3.32
Y 0.1775 0.8225 0.3225  6 In 3.15-3.31
Y 0.3225 0.1775 0.8225  6 In 3.15-3.31
Y 0.3231 0.8231 0.6769  6 In 3.15-3.32
Y 0.4209 0.4209 0.4209  6 In 3.15-3.35
Y 0.5791 0.9209 0.0791  6 In 3.15-3.35
Y 0.6769 0.3231 0.8231  6 In 3.15-3.32
Y 0.6775 0.6775 0.6775  6 In 3.15-3.31
Y 0.8225 0.3225 0.1775  6 In 3.15-3.31
Y 0.8231 0.6769 0.3231  6 In 3.15-3.32
Y 0.9209 0.0791 0.5791  6 In 3.15-3.35
In 0.0005 0.2553 0.8801  6 Y 3.15-3.35, 2 Sm 3.17-3.38
In 0.1199 0.5005 0.2447  6 Y 3.15-3.35, 2 Sm 3.17-3.38
In 0.2447 0.1199 0.5005  6 Y 3.15-3.35, 2 Sm 3.17-3.38
In 0.2553 0.8801 0.0005  6 Y 3.15-3.35, 2 Sm 3.17-3.38
In 0.3801 0.4995 0.7447  6 Y 3.15-3.35, 2 Sm 3.17-3.38
In 0.4995 0.7447 0.3801  6 Y 3.15-3.35, 2 Sm 3.17-3.38
In 0.5005 0.2447 0.1199  6 Y 3.15-3.35, 2 Sm 3.17-3.38
In 0.6199 0.9995 0.7553  6 Y 3.15-3.35, 2 Sm 3.17-3.38
In 0.7447 0.3801 0.4995  6 Y 3.15-3.35, 2 Sm 3.17-3.38
In 0.7553 0.6199 0.9995  6 Y 3.15-3.35, 2 Sm 3.17-3.38
In 0.8801 0.0005 0.2553  6 Y 3.15-3.35, 2 Sm 3.17-3.38
In 0.9995 0.7553 0.6199  6 Y 3.15-3.35, 2 Sm 3.17-3.38

The calculation puts the density of states at the Fermi level at 9.2 states/eV/f.u. The space group is No. 198. The value obtained for the formation energy is -0.3494 eV per atom. As for the spin magnetization: 0.00 μB per cell.


DFT (PBE) results for a relaxed structure of Sm2YIn4.

Cell: 8.3151 8.3151 8.3151 Å, 142.96 142.96 53.39°
Last column: nearest neighbours and their distance in Å.
Atoms (fractional coordinates):
Sm 0.2485 0.2485 0.0000  8 In 3.33-3.36
Sm 0.7515 0.7515 0.0000  8 In 3.33-3.36
Y 0.5000 0.5000 0.0000  8 In 3.12
In 0.1123 0.6123 0.5000  2 Y 3.12, 4 Sm 3.33-3.36, 1 In 3.34
In 0.3877 0.8877 0.5000  2 Y 3.12, 4 Sm 3.33-3.36, 1 In 3.34
In 0.6123 0.1123 0.5000  2 Y 3.12, 4 Sm 3.33-3.36, 1 In 3.34
In 0.8877 0.3877 0.5000  2 Y 3.12, 4 Sm 3.33-3.36, 1 In 3.34

The calculation puts the density of states at the Fermi level at 5.2 states/eV/f.u. The space group is No. 139. The value obtained for the formation energy is -0.3303 eV per atom. As for the spin magnetization: 0.00 μB per cell. For the energy above the most stable polymorph in this dataset, the calculation gives 0.0 meV/atom.


DFT (PBE) results for a relaxed structure of Sm5Y8In.

Cell: 8.5827 8.5827 8.5827 Å, 103.71 103.71 121.74°
Last column: nearest neighbours and their distance in Å.
Atoms (fractional coordinates):
Sm 0.0000 0.0000 0.0000  4 Y 3.67, 4 Sm 4.02
Sm 0.2178 0.4121 0.8048  3 Y 3.18-3.38, 2 Sm 3.27
Sm 0.5870 0.7822 0.1944  3 Y 3.18-3.38, 2 Sm 3.27
Sm 0.5879 0.3926 0.8056  3 Y 3.18-3.38, 2 Sm 3.27
Sm 0.6074 0.4130 0.1952  3 Y 3.18-3.38, 2 Sm 3.27
Y 0.0409 0.9576 0.4982  1 In 3.12, 2 Sm 3.38
Y 0.0424 0.5406 0.0833  1 In 3.12, 2 Sm 3.38
Y 0.4198 0.0795 0.3399  1 Sm 3.18, 1 In 3.23, 1 Y 3.39
Y 0.4572 0.9591 0.9166  1 In 3.12, 2 Sm 3.38
Y 0.4594 0.5428 0.5018  1 In 3.12, 2 Sm 3.38
Y 0.7396 0.0799 0.6601  1 Sm 3.18, 1 In 3.23, 1 Y 3.39
Y 0.9201 0.5802 0.6597  1 Sm 3.18, 1 In 3.23, 1 Y 3.39
Y 0.9205 0.2604 0.3403  1 Sm 3.18, 1 In 3.23, 1 Y 3.39
In 0.2500 0.7500 0.5000  8 Y 3.12-3.23

The calculation puts the density of states at the Fermi level at 19.7 states/eV/f.u. The space group is No. 82. The value obtained for the formation energy is 0.1153 eV per atom. As for the spin magnetization: 0.00 μB per cell.


DFT (PBE) results for a relaxed structure of SmY2In3.

Cell: 3.7693 3.7693 11.4636 Å, 90.00 90.00 90.00°
Last column: nearest neighbours and their distance in Å.
Atoms (fractional coordinates):
Sm 0.0000 0.0000 0.0000  8 In 3.32
Y 0.0000 0.0000 0.3362  8 In 3.26
Y 0.0000 0.0000 0.6638  8 In 3.26
In 0.5000 0.5000 0.1727  4 Y 3.26, 4 Sm 3.32
In 0.5000 0.5000 0.5000  8 Y 3.26
In 0.5000 0.5000 0.8273  4 Y 3.26, 4 Sm 3.32

The calculation puts the density of states at the Fermi level at 3.4 states/eV/f.u. The space group is No. 123. The value obtained for the formation energy is -0.4974 eV per atom. As for the spin magnetization: 0.00 μB per cell. For the energy above the most stable polymorph in this dataset, the calculation gives 0.0 meV/atom.


DFT (PBE) results for a relaxed structure of SmY2In9.

Cell: 4.6587 4.6587 13.9725 Å, 90.00 90.00 90.00°
Last column: nearest neighbours and their distance in Å.
Atoms (fractional coordinates):
Sm 0.0000 0.0000 0.0000  12 In 3.29-3.31
Y 0.0000 0.0000 0.3341  12 In 3.28-3.29
Y 0.0000 0.0000 0.6659  12 In 3.28-3.29
In 0.0000 0.5000 0.1684  8 In 3.28-3.31, 2 Y 3.28, 2 Sm 3.31
In 0.0000 0.5000 0.5000  4 Y 3.29, 8 In 3.29
In 0.0000 0.5000 0.8316  8 In 3.28-3.31, 2 Y 3.28, 2 Sm 3.31
In 0.5000 0.0000 0.1684  8 In 3.28-3.31, 2 Y 3.28, 2 Sm 3.31
In 0.5000 0.0000 0.5000  4 Y 3.29, 8 In 3.29
In 0.5000 0.0000 0.8316  8 In 3.28-3.31, 2 Y 3.28, 2 Sm 3.31
In 0.5000 0.5000 0.0000  4 Sm 3.29, 8 In 3.31
In 0.5000 0.5000 0.3335  8 In 3.28-3.29, 4 Y 3.29
In 0.5000 0.5000 0.6665  8 In 3.28-3.29, 4 Y 3.29

The calculation puts the density of states at the Fermi level at 4.4 states/eV/f.u. The space group is No. 123. The value obtained for the formation energy is -0.4369 eV per atom. As for the spin magnetization: 0.00 μB per cell.


DFT (PBE) results for a relaxed structure of Sm12YIn3.

Cell: 4.9487 4.9487 20.1783 Å, 90.00 90.00 90.00°
Last column: nearest neighbours and their distance in Å.
Atoms (fractional coordinates):
Sm 0.0000 0.0000 0.0000  4 In 3.50, 8 Sm 3.51
Sm 0.0000 0.0000 0.2455  8 Sm 3.50-3.51, 4 In 3.50
Sm 0.0000 0.0000 0.5000  4 Y 3.50, 8 Sm 3.62
Sm 0.0000 0.0000 0.7545  8 Sm 3.50-3.51, 4 In 3.50
Sm 0.0000 0.5000 0.1231  4 In 3.47-3.51, 8 Sm 3.50-3.51
Sm 0.0000 0.5000 0.3688  8 Sm 3.50-3.62, 2 In 3.53, 2 Y 3.62
Sm 0.0000 0.5000 0.6312  8 Sm 3.50-3.62, 2 In 3.53, 2 Y 3.62
Sm 0.0000 0.5000 0.8769  4 In 3.47-3.51, 8 Sm 3.50-3.51
Sm 0.5000 0.0000 0.1231  4 In 3.47-3.51, 8 Sm 3.50-3.51
Sm 0.5000 0.0000 0.3688  8 Sm 3.50-3.62, 2 In 3.53, 2 Y 3.62
Sm 0.5000 0.0000 0.6312  8 Sm 3.50-3.62, 2 In 3.53, 2 Y 3.62
Sm 0.5000 0.0000 0.8769  4 In 3.47-3.51, 8 Sm 3.50-3.51
Y 0.5000 0.5000 0.5000  12 Sm 3.50-3.62
In 0.5000 0.5000 0.0000  12 Sm 3.50-3.51
In 0.5000 0.5000 0.2437  12 Sm 3.47-3.53
In 0.5000 0.5000 0.7563  12 Sm 3.47-3.53

The calculation puts the density of states at the Fermi level at 22.9 states/eV/f.u. The space group is No. 123. The value obtained for the formation energy is -0.1938 eV per atom. As for the spin magnetization: 0.00 μB per cell.


Q: The highest formation energy belongs to which entry?
A: Sm5Y8In


Q: Which formula does entry 7 have?
A: SmY3In3


Q: formation energy of number 7 (SmY3In3)?
A: -0.3494 eV per atom